(i)
First-principles (PBE) data for crystalline PmPrPu at its relaxed geometry, as listed in Alexandria.

abc: 3.5840 3.5840 15.2740
angles: 90.00 90.00 90.00
Last column: nearest neighbours and their distance in Å.
Sites, in units of the cell vectors:
Pm 0.0000 0.0000 0.0000  4 Pu 3.53, 4 Pm 3.58, 4 Pr 3.68
Pm 0.5000 0.5000 0.5000  4 Pu 3.53, 4 Pm 3.58, 4 Pr 3.68
Pr 0.0000 0.0000 0.3255  4 Pu 3.57, 4 Pr 3.58, 4 Pm 3.68
Pr 0.5000 0.5000 0.8255  4 Pu 3.57, 4 Pr 3.58, 4 Pm 3.68
Pu 0.0000 0.0000 0.6612  4 Pm 3.53, 4 Pr 3.57, 4 Pu 3.58
Pu 0.5000 0.5000 0.1612  4 Pm 3.53, 4 Pr 3.57, 4 Pu 3.58

Calculated values
space-group type = I4mm, No. 107
D(E_F) = 13.9 states/eV per cell

***

(ii)
First-principles (PBE) data for crystalline PmPrPu at its relaxed geometry, as listed in Alexandria.

abc: 3.6138 3.6138 8.7324
angles: 90.00 90.00 120.00
Last column: nearest neighbours and their distance in Å.
Sites, in units of the cell vectors:
Pm 0.0000 0.0000 0.0000  3 Pu 3.52, 6 Pm 3.61, 3 Pr 3.68
Pr 0.6667 0.3333 0.3470  3 Pu 3.55, 6 Pr 3.61, 3 Pm 3.68
Pu 0.3333 0.6667 0.6759  3 Pm 3.52, 3 Pr 3.55, 6 Pu 3.61

Calculated values
space-group type = P3m1, No. 156
D(E_F) = 8.7 states/eV per cell

***

(iii)
First-principles (PBE) data for crystalline PmPrPu at its relaxed geometry, as listed in Alexandria.

abc: 5.7802 5.7802 3.3658
angles: 90.00 90.00 120.00
Last column: nearest neighbours and their distance in Å.
Sites, in units of the cell vectors:
Pm 0.0000 0.0000 0.0000  3 Pr 3.34, 2 Pm 3.37, 6 Pu 3.74
Pr 0.3333 0.6667 0.0000  3 Pm 3.34, 2 Pr 3.37, 6 Pu 3.74
Pu 0.6667 0.3333 0.5000  2 Pu 3.37, 6 Pm 3.74, 6 Pr 3.74

Calculated values
space-group type = P-6m2, No. 187
D(E_F) = 10.6 states/eV per cell

***

Most stable: (i) (next structure +0.016 eV/atom)

***

(i)
First-principles (PBE) data for crystalline PmPr2Pu at its relaxed geometry, as listed in Alexandria.

abc: 8.1605 8.1605 8.1605
angles: 90.00 90.00 90.00
Last column: nearest neighbours and their distance in Å.
Sites, in units of the cell vectors:
Pm 0.0000 0.0000 0.0000  8 Pr 3.53
Pm 0.0000 0.5000 0.5000  8 Pr 3.53
Pm 0.5000 0.0000 0.5000  8 Pr 3.53
Pm 0.5000 0.5000 0.0000  8 Pr 3.53
Pr 0.2500 0.2500 0.2500  4 Pm 3.53, 4 Pu 3.53
Pr 0.2500 0.2500 0.7500  4 Pm 3.53, 4 Pu 3.53
Pr 0.2500 0.7500 0.2500  4 Pm 3.53, 4 Pu 3.53
Pr 0.2500 0.7500 0.7500  4 Pm 3.53, 4 Pu 3.53
Pr 0.7500 0.2500 0.2500  4 Pm 3.53, 4 Pu 3.53
Pr 0.7500 0.2500 0.7500  4 Pm 3.53, 4 Pu 3.53
Pr 0.7500 0.7500 0.2500  4 Pm 3.53, 4 Pu 3.53
Pr 0.7500 0.7500 0.7500  4 Pm 3.53, 4 Pu 3.53
Pu 0.0000 0.0000 0.5000  8 Pr 3.53
Pu 0.0000 0.5000 0.0000  8 Pr 3.53
Pu 0.5000 0.0000 0.0000  8 Pr 3.53
Pu 0.5000 0.5000 0.5000  8 Pr 3.53

Calculated values
space-group type = Fm-3m, No. 225
D(E_F) = 59.8 states/eV per cell

***

(ii)
First-principles (PBE) data for crystalline PmPr2Pu at its relaxed geometry, as listed in Alexandria.

abc: 5.1185 5.1185 5.1051
angles: 90.00 90.00 90.00
Last column: nearest neighbours and their distance in Å.
Sites, in units of the cell vectors:
Pm 0.0000 0.0000 0.0000  8 Pr 3.61, 4 Pu 3.62
Pr 0.0000 0.5000 0.5000  4 Pu 3.61, 4 Pm 3.61, 4 Pr 3.62
Pr 0.5000 0.0000 0.5000  4 Pu 3.61, 4 Pm 3.61, 4 Pr 3.62
Pu 0.5000 0.5000 0.0000  8 Pr 3.61, 4 Pm 3.62

Calculated values
space-group type = P4/mmm, No. 123
D(E_F) = 16.2 states/eV per cell

***

(iii)
First-principles (PBE) data for crystalline PmPr2Pu at its relaxed geometry, as listed in Alexandria.

abc: 3.6453 3.6453 35.3237
angles: 90.00 90.00 120.00
Last column: nearest neighbours and their distance in Å.
Sites, in units of the cell vectors:
Pm 0.0000 0.0000 0.0000  6 Pm 3.65, 6 Pr 3.68
Pm 0.3333 0.6667 0.6667  6 Pm 3.65, 6 Pr 3.68
Pm 0.6667 0.3333 0.3333  6 Pm 3.65, 6 Pr 3.68
Pr 0.0000 0.0000 0.2479  3 Pu 3.56, 6 Pr 3.65, 3 Pm 3.68
Pr 0.0000 0.0000 0.4189  3 Pu 3.55, 6 Pr 3.65, 3 Pm 3.68
Pr 0.3333 0.6667 0.0856  3 Pu 3.55, 6 Pr 3.65, 3 Pm 3.68
Pr 0.3333 0.6667 0.9145  3 Pu 3.56, 6 Pr 3.65, 3 Pm 3.68
Pr 0.6667 0.3333 0.5812  3 Pu 3.56, 6 Pr 3.65, 3 Pm 3.68
Pr 0.6667 0.3333 0.7522  3 Pu 3.55, 6 Pr 3.65, 3 Pm 3.68
Pu 0.0000 0.0000 0.8332  6 Pr 3.55-3.56, 6 Pu 3.65
Pu 0.3333 0.6667 0.4999  6 Pr 3.55-3.56, 6 Pu 3.65
Pu 0.6667 0.3333 0.1666  6 Pr 3.55-3.56, 6 Pu 3.65

Calculated values
space-group type = R3m, No. 160
D(E_F) = 36.5 states/eV per cell

***

(iv)
First-principles (PBE) data for crystalline PmPr2Pu at its relaxed geometry, as listed in Alexandria.

abc: 3.5458 3.5458 37.8716
angles: 90.00 90.00 120.00
Last column: nearest neighbours and their distance in Å.
Sites, in units of the cell vectors:
Pm 0.0000 0.0000 0.0000  6 Pm 3.55, 6 Pr 3.64
Pm 0.3333 0.6667 0.6667  6 Pm 3.55, 6 Pr 3.64
Pm 0.6667 0.3333 0.3333  6 Pm 3.55, 6 Pr 3.64
Pr 0.0000 0.0000 0.4127  1 Pu 3.30, 6 Pr 3.55, 3 Pm 3.64
Pr 0.0000 0.0000 0.5873  1 Pu 3.30, 6 Pr 3.55, 3 Pm 3.64
Pr 0.3333 0.6667 0.0794  1 Pu 3.30, 6 Pr 3.55, 3 Pm 3.64
Pr 0.3333 0.6667 0.2539  1 Pu 3.30, 6 Pr 3.55, 3 Pm 3.64
Pr 0.6667 0.3333 0.7461  1 Pu 3.30, 6 Pr 3.55, 3 Pm 3.64
Pr 0.6667 0.3333 0.9206  1 Pu 3.30, 6 Pr 3.55, 3 Pm 3.64
Pu 0.0000 0.0000 0.5000  2 Pr 3.30, 6 Pu 3.55
Pu 0.3333 0.6667 0.1667  2 Pr 3.30, 6 Pu 3.55
Pu 0.6667 0.3333 0.8333  2 Pr 3.30, 6 Pu 3.55

Calculated values
space-group type = R-3m, No. 166
D(E_F) = 37.2 states/eV per cell

***

Most stable: (iii) (next structure +0.024 eV/atom)

***

(i)
First-principles (PBE) data for crystalline Pm3PrRh at its relaxed geometry, as listed in Alexandria.

abc: 8.2652 7.4454 10.3450
angles: 90.00 107.98 90.00
Last column: nearest neighbours and their distance in Å.
Sites, in units of the cell vectors:
Pm 0.0633 0.2114 0.0229  1 Rh 2.89
Pm 0.0633 0.2886 0.5229  1 Rh 2.89
Pm 0.2837 0.0020 0.3771  2 Rh 2.84-2.94
Pm 0.2837 0.4980 0.8771  2 Rh 2.84-2.94
Pm 0.4182 0.6302 0.6119  3 Rh 2.90-3.01
Pm 0.4182 0.8698 0.1119  3 Rh 2.90-3.01
Pm 0.5818 0.1302 0.8881  3 Rh 2.90-3.01
Pm 0.5818 0.3698 0.3881  3 Rh 2.90-3.01
Pm 0.7163 0.5020 0.1229  2 Rh 2.84-2.94
Pm 0.7163 0.9980 0.6229  2 Rh 2.84-2.94
Pm 0.9367 0.7114 0.4771  1 Rh 2.89
Pm 0.9367 0.7886 0.9771  1 Rh 2.89
Pr 0.1841 0.5356 0.2610  9 Pm 3.37-3.76, 2 Rh 3.50-3.66
Pr 0.1841 0.9644 0.7610  9 Pm 3.37-3.76, 2 Rh 3.50-3.66
Pr 0.8159 0.0356 0.2390  9 Pm 3.37-3.76, 2 Rh 3.50-3.66
Pr 0.8159 0.4644 0.7390  9 Pm 3.37-3.76, 2 Rh 3.50-3.66
Rh 0.4280 0.2420 0.5958  6 Pm 2.84-3.01
Rh 0.4280 0.2580 0.0958  6 Pm 2.84-3.01
Rh 0.5720 0.7420 0.9042  6 Pm 2.84-3.01
Rh 0.5720 0.7580 0.4042  6 Pm 2.84-3.01

Calculated values
space-group type = P2_1/c, No. 14
D(E_F) = 21.3 states/eV per cell

***

(ii)
First-principles (PBE) data for crystalline Pm3PrRh at its relaxed geometry, as listed in Alexandria.

abc: 7.0830 7.0830 6.7005
angles: 105.14 105.14 89.83
Last column: nearest neighbours and their distance in Å.
Sites, in units of the cell vectors:
Pm 0.0686 0.0686 0.2729  2 Rh 2.99-3.02
Pm 0.0687 0.5691 0.2717  2 Rh 3.02
Pm 0.4309 0.9313 0.7283  2 Rh 3.02
Pm 0.5691 0.0687 0.2717  2 Rh 3.02
Pm 0.9313 0.4309 0.7283  2 Rh 3.02
Pm 0.9314 0.9314 0.7271  2 Rh 2.99-3.02
Pr 0.4298 0.4298 0.7238  2 Rh 3.05-3.08
Pr 0.5702 0.5702 0.2762  2 Rh 3.05-3.08
Rh 0.2475 0.2475 0.0015  6 Pm 2.99-3.02, 2 Pr 3.05-3.08
Rh 0.7525 0.7525 0.9985  6 Pm 2.99-3.02, 2 Pr 3.05-3.08

Calculated values
space-group type = C2/m, No. 12
D(E_F) = 10.8 states/eV per cell

***

(iii)
First-principles (PBE) data for crystalline Pm3PrRh at its relaxed geometry, as listed in Alexandria.

abc: 5.5719 5.5719 5.5719
angles: 90.00 90.00 90.00
Last column: nearest neighbours and their distance in Å.
Sites, in units of the cell vectors:
Pm 0.0000 0.0000 0.5000  2 Rh 2.79
Pm 0.0000 0.5000 0.0000  2 Rh 2.79
Pm 0.5000 0.0000 0.0000  2 Rh 2.79
Pr 0.5000 0.5000 0.5000  12 Pm 3.94
Rh 0.0000 0.0000 0.0000  6 Pm 2.79

Calculated values
space-group type = Pm-3m, No. 221
D(E_F) = 7.5 states/eV per cell

***

Most stable: (i) (next structure +0.042 eV/atom)

***

(i)
First-principles (PBE) data for crystalline Pm2PrRh at its relaxed geometry, as listed in Alexandria.

abc: 3.5993 3.5993 8.9079
angles: 90.00 90.00 90.00
Last column: nearest neighbours and their distance in Å.
Sites, in units of the cell vectors:
Pm 0.0000 0.0000 0.1868  4 Rh 3.04, 1 Pm 3.33
Pm 0.0000 0.0000 0.8132  4 Rh 3.04, 1 Pm 3.33
Pr 0.5000 0.5000 0.5000  4 Pr 3.60, 8 Pm 3.78
Rh 0.5000 0.5000 0.0000  8 Pm 3.04

Calculated values
space-group type = P4/mmm, No. 123
D(E_F) = 4.7 states/eV per cell

***

(ii)
First-principles (PBE) data for crystalline Pm2PrRh at its relaxed geometry, as listed in Alexandria.

abc: 7.3374 9.9050 6.5033
angles: 90.00 90.00 90.00
Last column: nearest neighbours and their distance in Å.
Sites, in units of the cell vectors:
Pm 0.1754 0.0658 0.1688  2 Rh 2.90
Pm 0.1754 0.4342 0.1688  2 Rh 2.90
Pm 0.3246 0.5658 0.6688  2 Rh 2.90
Pm 0.3246 0.9342 0.6688  2 Rh 2.90
Pm 0.6754 0.0658 0.3312  2 Rh 2.90
Pm 0.6754 0.4342 0.3312  2 Rh 2.90
Pm 0.8246 0.5658 0.8312  2 Rh 2.90
Pm 0.8246 0.9342 0.8312  2 Rh 2.90
Pr 0.0352 0.2500 0.6431  2 Rh 2.90-3.02
Pr 0.4648 0.7500 0.1431  2 Rh 2.90-3.02
Pr 0.5352 0.2500 0.8569  2 Rh 2.90-3.02
Pr 0.9648 0.7500 0.3569  2 Rh 2.90-3.02
Rh 0.1199 0.7500 0.9267  2 Pr 2.90-3.02, 4 Pm 2.90
Rh 0.3801 0.2500 0.4267  2 Pr 2.90-3.02, 4 Pm 2.90
Rh 0.6199 0.7500 0.5733  2 Pr 2.90-3.02, 4 Pm 2.90
Rh 0.8801 0.2500 0.0733  2 Pr 2.90-3.02, 4 Pm 2.90

Calculated values
space-group type = Pnma, No. 62
D(E_F) = 19.1 states/eV per cell

***

(iii)
First-principles (PBE) data for crystalline Pm2PrRh at its relaxed geometry, as listed in Alexandria.

abc: 3.9523 3.9523 28.2334
angles: 90.00 90.00 120.00
Last column: nearest neighbours and their distance in Å.
Sites, in units of the cell vectors:
Pm 0.0000 0.0000 0.0000  3 Rh 2.82
Pm 0.0000 0.0000 0.2168  3 Rh 2.81
Pm 0.3333 0.6667 0.6667  3 Rh 2.82
Pm 0.3333 0.6667 0.8835  3 Rh 2.81
Pm 0.6667 0.3333 0.3333  3 Rh 2.82
Pm 0.6667 0.3333 0.5501  3 Rh 2.81
Pr 0.0000 0.0000 0.4429  6 Pm 3.79-3.84, 6 Pr 3.95
Pr 0.3333 0.6667 0.1096  6 Pm 3.79-3.84, 6 Pr 3.95
Pr 0.6667 0.3333 0.7762  6 Pm 3.79-3.84, 6 Pr 3.95
Rh 0.0000 0.0000 0.6082  6 Pm 2.81-2.82
Rh 0.3333 0.6667 0.2749  6 Pm 2.81-2.82
Rh 0.6667 0.3333 0.9416  6 Pm 2.81-2.82

Calculated values
space-group type = R3m, No. 160
D(E_F) = 15.9 states/eV per cell

***

Most stable: (ii) (next structure +0.115 eV/atom)